Entry from Alexandria: a relaxed CaHoEr crystal (GGA-PBE). Values from VASP.

```
&SYSTEM
  ibrav = 0, nat = 3, ntyp = 3
/
ATOMIC_SPECIES
Ca 40.08 Ca.upf
Ho 164.93 Ho.upf
Er 167.26 Er.upf
CELL_PARAMETERS angstrom
3.585 0.000 0.000
-1.793 3.105 0.000
0.000 0.000 9.065
ATOMIC_POSITIONS crystal
Ca 0.000 0.000 0.000
Ho 0.667 0.333 0.350
Er 0.333 0.667 0.652
```

Output
- Density: 6.13 g/cm3
- D(E_F): 5.43 states/eV/cell
- DFT formation energy: 0.09 eV per atom
- Excess energy over the best structure of this formula in the dataset: 0.0237 eV per atom

***

Entry from Alexandria: a relaxed CsKF2 crystal (GGA-PBE). Values from VASP.

```
&SYSTEM
  ibrav = 0, nat = 4, ntyp = 3
/
ATOMIC_SPECIES
Cs 132.91 Cs.upf
K 39.10 K.upf
F 19.00 F.upf
CELL_PARAMETERS angstrom
0.000 3.504 3.504
3.504 0.000 3.504
3.504 3.504 0.000
ATOMIC_POSITIONS crystal
Cs 0.000 0.000 0.000
K 0.500 0.500 0.500
F 0.250 0.250 0.250
F 0.750 0.750 0.750
```

Output
- Density: 4.05 g/cm3
- D(E_F): 0.00 states/eV/cell
- Excess energy over the best structure of this formula in the dataset: 0.1207 eV per atom
- Formation energy from raw total energies: -2.546 eV/atom

***

Entry from Alexandria: a relaxed Te3Mo crystal (GGA-PBE). Values from VASP.

```
&SYSTEM
  ibrav = 0, nat = 4, ntyp = 2
/
ATOMIC_SPECIES
Te 127.60 Te.upf
Mo 95.94 Mo.upf
CELL_PARAMETERS angstrom
-1.615 6.058 3.297
1.615 -6.058 3.297
1.615 6.058 -3.297
ATOMIC_POSITIONS crystal
Te 0.000 0.000 0.000
Te 0.342 0.497 0.845
Te 0.652 0.497 0.155
Mo 0.330 0.830 0.500
```

Output
- Density: 6.16 g/cm3
- D(E_F): 2.00 states/eV/cell
- Formation energy from raw total energies: -0.032 eV/atom

***

Entry from Alexandria: a relaxed In2Bi3Pb2 crystal (GGA-PBE). Values from VASP.

```
&SYSTEM
  ibrav = 0, nat = 7, ntyp = 3
/
ATOMIC_SPECIES
In 114.82 In.upf
Bi 208.98 Bi.upf
Pb 207.20 Pb.upf
CELL_PARAMETERS angstrom
4.743 0.000 0.000
1.225 4.662 0.000
0.647 0.506 10.594
ATOMIC_POSITIONS crystal
In 0.198 0.201 0.092
In 0.802 0.799 0.908
Bi 0.000 0.000 0.500
Bi 0.195 0.194 0.795
Bi 0.805 0.806 0.205
Pb 0.401 0.402 0.360
Pb 0.599 0.598 0.640
```

Output
- Density: 9.01 g/cm3
- D(E_F): 3.75 states/eV/cell
- DFT formation energy: 0.05 eV per atom
- Excess energy over the best structure of this formula in the dataset: 0.0000 eV per atom

***

Entry from Alexandria: a relaxed TiFeS2 crystal (GGA-PBE). Values from VASP.

```
&SYSTEM
  ibrav = 0, nat = 4, ntyp = 3
/
ATOMIC_SPECIES
Ti 47.87 Ti.upf
Fe 55.84 Fe.upf
S 32.06 S.upf
CELL_PARAMETERS angstrom
0.000 3.019 3.019
3.019 0.000 3.019
3.019 3.019 0.000
ATOMIC_POSITIONS crystal
Ti 0.000 0.000 0.000
Fe 0.500 0.500 0.500
S 0.250 0.250 0.250
S 0.750 0.750 0.750
```

Output
- Density: 5.07 g/cm3
- D(E_F): 3.93 states/eV/cell
- Excess energy over the best structure of this formula in the dataset: 0.1250 eV per atom
- Formation energy from raw total energies: -0.520 eV/atom

***

Entry from Alexandria: a relaxed Ba3PdPt8 crystal (GGA-PBE). Values from VASP.

```
&SYSTEM
  ibrav = 0, nat = 12, ntyp = 3
/
ATOMIC_SPECIES
Ba 137.33 Ba.upf
Pd 106.42 Pd.upf
Pt 195.08 Pt.upf
CELL_PARAMETERS angstrom
2.810 1.622 9.084
-2.810 1.622 9.084
0.000 -3.245 9.084
ATOMIC_POSITIONS crystal
Ba 0.000 0.000 0.000
Ba 0.128 0.128 0.128
Ba 0.616 0.616 0.616
Pd 0.488 0.488 0.488
Pt 0.060 0.060 0.560
Pt 0.060 0.560 0.060
Pt 0.065 0.563 0.563
Pt 0.312 0.312 0.312
Pt 0.560 0.060 0.060
Pt 0.563 0.065 0.563
Pt 0.563 0.563 0.065
Pt 0.812 0.812 0.812
```

Output
- Density: 13.89 g/cm3
- D(E_F): 7.11 states/eV/cell
- DFT formation energy: -0.53 eV per atom

***

Entry from Alexandria: a relaxed Pm3Pr3In crystal (GGA-PBE). Values from VASP.

```
&SYSTEM
  ibrav = 0, nat = 14, ntyp = 3
/
ATOMIC_SPECIES
Pm 145.00 Pm.upf
Pr 140.91 Pr.upf
In 114.82 In.upf
CELL_PARAMETERS angstrom
9.618 0.000 0.000
0.000 5.782 0.000
-4.808 0.000 8.336
ATOMIC_POSITIONS crystal
Pm 0.015 0.250 0.393
Pm 0.123 0.750 0.016
Pm 0.394 0.750 0.878
Pm 0.606 0.250 0.122
Pm 0.877 0.250 0.984
Pm 0.985 0.750 0.607
Pr 0.250 0.750 0.433
Pr 0.317 0.250 0.250
Pr 0.432 0.250 0.682
Pr 0.568 0.750 0.318
Pr 0.683 0.750 0.750
Pr 0.750 0.250 0.567
In 0.167 0.250 0.834
In 0.833 0.750 0.166
```

Output
- Density: 6.97 g/cm3
- D(E_F): 19.26 states/eV/cell
- DFT formation energy: -0.09 eV per atom
- Excess energy over the best structure of this formula in the dataset: 0.0000 eV per atom

***

Entry from Alexandria: a relaxed CaCePmSn crystal (GGA-PBE). Values from VASP.

```
&SYSTEM
  ibrav = 0, nat = 4, ntyp = 4
/
ATOMIC_SPECIES
Ca 40.08 Ca.upf
Ce 140.12 Ce.upf
Pm 145.00 Pm.upf
Sn 118.71 Sn.upf
CELL_PARAMETERS angstrom
0.000 3.922 3.922
3.922 0.000 3.922
3.922 3.922 0.000
ATOMIC_POSITIONS crystal
Ca 0.000 0.000 0.000
Ce 0.500 0.500 0.500
Pm 0.750 0.750 0.750
Sn 0.250 0.250 0.250
```

Output
- Density: 6.11 g/cm3
- D(E_F): 8.92 states/eV/cell
- DFT formation energy: -0.12 eV per atom